1.
Here is Be2CdOs after structural relaxation from the Alexandria database. Energies are from PBE.

Cell: 2.915 2.922 6.104 Å, 90.00 90.00 90.00°
Atoms (fractional coordinates):
Be1 0.000 0.000 0.002
Be2 0.500 0.500 0.192
Os1 0.500 0.500 0.825
Cd1 0.000 0.000 0.481

## Properties
space group = P4mm (99)
crystal system = tetragonal
energy of formation = 247 meV per atom
ρ = 10.24 g/cm3
uncorrected energy = -4.6520 eV/atom



2.
Here is Tb2Er6Sc after structural relaxation from the Alexandria database. Energies are from PBE.

Cell: 6.442 9.392 9.392 Å, 95.52 80.87 80.87°
Atoms (fractional coordinates):
Tb1 0.129 0.618 0.666
Tb2 0.371 0.334 0.382
Tb3 0.871 0.382 0.334
Tb4 0.629 0.666 0.618
Er1 0.503 0.656 0.278
Er2 0.997 0.722 0.344
Er3 0.497 0.344 0.722
Er4 0.003 0.278 0.656
Er5 0.732 0.057 0.456
Er6 0.768 0.544 0.943
Er7 0.268 0.943 0.544
Er8 0.232 0.456 0.057
Er9 0.308 0.782 0.956
Er10 0.192 0.044 0.218
Er11 0.692 0.218 0.044
Er12 0.808 0.956 0.782
Sc1 0.250 0.118 0.882
Sc2 0.750 0.882 0.118

## Properties
space group = C2/c (15)
crystal system = monoclinic
offset from the most stable computed form = 88.8 meV per atom
energy of formation = 122 meV per atom
ρ = 8.26 g/cm3
uncorrected energy = -4.6528 eV/atom



What is the ρ in the second record? 8.26 g/cm3